{
  "formula": "MnReN2O",
  "functional": "GGA+U",
  "state": "optimized geometry",
  "lattice_angstrom": [[3.919, 0.000, 0.000], [0.000, 3.919, 0.000], [0.000, 0.000, 3.854]],
  "species": ["Mn", "Re", "N", "N", "O"],
  "frac_coords": [[0.000, 0.000, 0.000], [0.500, 0.500, 0.500], [0.000, 0.500, 0.500], [0.500, 0.000, 0.500], [0.500, 0.500, 0.000]],
  "sg": "No. 123",
  "total_magnetization_mub_per_cell": 4.90,
  "e_tot_ev_per_cell": -42.1
}